# 1
DFT (GGA-PBE) results for crystalline MnTeH2 at its relaxed geometry.

Computed properties:
* DFT total energy: -0.266 Ry per atom
* energy above the lowest structure with this stoichiometry: 3.028 eV/f.u.

Lattice parameters (Å, degrees): 5.5096 5.5096 5.5096 90.00 90.00 90.00
Last column: nearest neighbours and their distance in Å.
Space group Fm-3m (No. 225)
Asymmetric unit:
Mn: 0.0000 0.0000 0.0000 (multiplicity 4)  8 H 2.39
Te: 0.0000 0.0000 0.5000 (multiplicity 4)  8 H 2.39
H: 0.2500 0.2500 0.2500 (multiplicity 8)  4 Te 2.39, 4 Mn 2.39

***

# 2
DFT (GGA-PBE) results for crystalline Sn2Rh3S2 at its relaxed geometry.

Computed properties:
* DFT total energy: -0.439 Ry per atom

Lattice parameters (Å, degrees): 5.7266 5.7266 13.4450 90.00 90.00 120.00
Last column: nearest neighbours and their distance in Å.
Space group R-3m (No. 166, hexagonal axes)
Asymmetric unit:
Sn: 0.0000 0.0000 0.0000 (multiplicity 3)  2 S 2.85, 6 Rh 2.86
Sn: 0.0000 0.0000 0.5000 (multiplicity 3)  6 Rh 2.78
Rh: 0.0000 0.5000 0.0000 (multiplicity 9)  2 S 2.32
S: 0.0000 0.0000 0.2121 (multiplicity 6)  3 Rh 2.32

***

# 3
DFT (GGA-PBE) results for crystalline CePu2In at its relaxed geometry.

Computed properties:
* DFT total energy: -0.689 Ry per atom
* energy above the lowest structure with this stoichiometry: 0.320 eV/f.u.
* ΔE_f: -4 kJ per mole of atoms

Lattice parameters (Å, degrees): 7.5086 7.5086 7.5086 90.00 90.00 90.00
Last column: nearest neighbours and their distance in Å.
Space group Fm-3m (No. 225)
Asymmetric unit:
Ce: 0.0000 0.0000 0.0000 (multiplicity 4)  8 Pu 3.25
Pu: 0.2500 0.2500 0.2500 (multiplicity 8)  4 In 3.25, 4 Ce 3.25
In: 0.0000 0.0000 0.5000 (multiplicity 4)  8 Pu 3.25

***

# 4
DFT (GGA-PBE) results for crystalline SrTaTiIr2 at its relaxed geometry.

Computed properties:
* DFT total energy: -0.617 Ry per atom
* ΔE_f: -55 kJ per mole of atoms

Lattice parameters (Å, degrees): 4.4192 4.4192 10.7781 90.00 90.00 90.00
Last column: nearest neighbours and their distance in Å.
Space group I-4m2 (No. 119)
Asymmetric unit:
Sr: 0.0000 0.0000 0.0000 (multiplicity 2)  8 Ir 3.40, 4 Ta 3.48, 4 Ti 3.48
Ta: 0.0000 0.5000 0.7500 (multiplicity 2)  4 Ir 2.59
Ti: 0.0000 0.5000 0.2500 (multiplicity 2)  4 Ir 2.59
Ir: 0.0000 0.0000 0.3746 (multiplicity 4)  2 Ta 2.59, 2 Ti 2.59, 1 Ir 2.70